[1]
This record from Alexandria describes a geometry-optimized CaSnSeBr2 structure. The functional is PBE.

Unit cell a=5.383 b=5.383 c=5.791 alpha=90.00 beta=90.00 gamma=90.00
Space group P4/mmm (No. 123)
Inequivalent atoms, fractional coordinates:
Ca 0.000 0.000 0.000
Sn 0.500 0.500 0.500
Se 0.000 0.000 0.500
Br 0.000 0.500 0.000

Computed properties:
* total DFT energy (no corrections): -16.936 eV/cell
* total moment: 0.0 μB/cell
* energy relative to the elements, uncorrected: -0.82 eV per atom
* offset from the most stable computed form: 0 meV per atom
* crystal system: tetragonal

=====

[2]
This record from Alexandria describes a geometry-optimized TiIn2P2 structure. The functional is PBE.

Unit cell a=7.429 b=7.429 c=3.596 alpha=90.00 beta=90.00 gamma=90.00
Space group P4/mbm (No. 127)
Inequivalent atoms, fractional coordinates:
Ti 0.000 0.000 0.000
In 0.138 0.362 0.000
P 0.173 0.673 0.500

Computed properties:
* total DFT energy (no corrections): -44.926 eV/cell
* total moment: 0.0 μB/cell
* offset from the most stable computed form: 480 meV per atom
* crystal system: tetragonal

=====

[3]
This record from Alexandria describes a geometry-optimized CaTb2In structure. The functional is PBE.

Unit cell a=3.664 b=3.664 c=9.583 alpha=90.00 beta=90.00 gamma=90.00
Space group P4/mmm (No. 123)
Inequivalent atoms, fractional coordinates:
Ca 0.000 0.000 0.000
Tb 0.500 0.500 0.295
In 0.000 0.000 0.500

Computed properties:
* total DFT energy (no corrections): -14.651 eV/cell
* total moment: 0.0 μB/cell
* offset from the most stable computed form: 49 meV per atom
* crystal system: tetragonal

=====

[4]
This record from Alexandria describes a geometry-optimized Hf3Al3Pd structure. The functional is PBE.

Unit cell a=3.398 b=10.763 c=14.146 alpha=90.00 beta=90.00 gamma=90.00
Space group Cmcm (No. 63)
Inequivalent atoms, fractional coordinates:
Hf 0.000 0.009 0.250
Hf 0.000 0.307 0.593
Al 0.000 0.271 0.250
Al 0.000 0.410 0.104
Pd 0.000 0.000 0.000

Computed properties:
* total DFT energy (no corrections): -198.792 eV/cell
* total moment: 0.0 μB/cell
* crystal system: orthorhombic

=====

[5]
This record from Alexandria describes a geometry-optimized ReTe2Au structure. The functional is PBE.

Unit cell a=3.0091 b=3.0091 c=35.6408 alpha=90.00 beta=90.00 gamma=120.00
Space group R-3m (No. 166, hexagonal axes)
Inequivalent atoms, fractional coordinates:
Re 0.0000 0.0000 0.0000
Te 0.0000 0.0000 0.0750
Au 0.0000 0.0000 0.5000

Computed properties:
* total DFT energy (no corrections): -56.631 eV/cell
* total moment: 0.0 μB/cell
* energy relative to the elements, uncorrected: 0.78 eV per atom
* offset from the most stable computed form: 512 meV per atom
* crystal system: trigonal

=====

[6]
This record from Alexandria describes a geometry-optimized Sr2Ti6O13 structure. The functional is PBE.

Unit cell a=14.717 b=3.928 c=9.207 alpha=90.00 beta=98.00 gamma=90.00
Space group C2/m (No. 12)
Inequivalent atoms, fractional coordinates:
Sr 0.050 0.000 0.281
Ti 0.122 0.500 0.599
Ti 0.164 0.500 0.945
Ti 0.246 0.500 0.273
O 0.000 0.500 0.500
O 0.065 0.500 0.801
O 0.125 0.000 0.617
O 0.125 0.500 0.122
O 0.170 0.500 0.416
O 0.198 0.000 0.931
O 0.243 0.500 0.748

Computed properties:
* total DFT energy (no corrections): -358.705 eV/cell
* total moment: 0.0 μB/cell
* energy relative to the elements, uncorrected: -3.06 eV per atom
* crystal system: monoclinic

=====

[7]
This record from Alexandria describes a geometry-optimized Ca3HgCl8 structure. The functional is PBE.

Unit cell a=13.516 b=8.199 c=8.017 alpha=90.00 beta=123.43 gamma=90.00
Space group C2/m (No. 12)
Inequivalent atoms, fractional coordinates:
Ca 0.000 0.000 0.000
Ca 0.250 0.250 0.500
Hg 0.000 0.500 0.000
Cl 0.006 0.252 0.236
Cl 0.242 0.000 0.264
Cl 0.242 0.500 0.259

Computed properties:
* total DFT energy (no corrections): -88.276 eV/cell
* total moment: 0.0 μB/cell
* energy relative to the elements, uncorrected: -1.92 eV per atom
* crystal system: monoclinic

=====

[8]
This record from Alexandria describes a geometry-optimized TiCdC structure. The functional is PBE.

Unit cell a=3.5351 b=3.5351 c=28.3893 alpha=90.00 beta=90.00 gamma=120.00
Space group R-3m (No. 166, hexagonal axes)
Inequivalent atoms, fractional coordinates:
Ti 0.0000 0.0000 0.1293
Cd 0.0000 0.0000 0.3754
C 0.0000 0.0000 0.2019

Computed properties:
* total DFT energy (no corrections): -108.568 eV/cell
* total moment: 0.0 μB/cell
* crystal system: trigonal

=====

[9]
This record from Alexandria describes a geometry-optimized Ce4TlBiC structure. The functional is PBE.

Unit cell a=6.974 b=16.296 c=6.978 alpha=90.00 beta=90.00 gamma=90.00
Space group Cmcm (No. 63)
Inequivalent atoms, fractional coordinates:
Ce 0.000 0.090 0.250
Ce 0.000 0.404 0.250
Ce 0.250 0.250 0.000
Tl 0.000 0.110 0.750
Bi 0.000 0.393 0.750
C 0.000 0.243 0.250

Computed properties:
* total DFT energy (no corrections): -166.993 eV/cell
* total moment: 7.4 μB/cell
* crystal system: orthorhombic

=====

[10]
This record from Alexandria describes a geometry-optimized ErScBi structure. The functional is PBE.

Unit cell a=4.408 b=4.408 c=8.293 alpha=90.00 beta=90.00 gamma=90.00
Space group P4/nmm (No. 129, origin choice 2)
Inequivalent atoms, fractional coordinates:
Er 0.250 0.250 0.157
Sc 0.250 0.750 0.500
Bi 0.250 0.250 0.773

Computed properties:
* total DFT energy (no corrections): -33.140 eV/cell
* total moment: 0.7 μB/cell
* crystal system: tetragonal

=====

[11]
This record from Alexandria describes a geometry-optimized ThTcBN structure. The functional is PBE.

Unit cell a=3.722 b=3.722 c=8.072 alpha=90.00 beta=90.00 gamma=90.00
Space group P4/nmm (No. 129, origin choice 2)
Inequivalent atoms, fractional coordinates:
Th 0.250 0.250 0.170
Tc 0.250 0.750 0.500
B 0.250 0.250 0.672
N 0.250 0.250 0.862

Computed properties:
* total DFT energy (no corrections): -73.015 eV/cell
* total moment: 0.2 μB/cell
* energy relative to the elements, uncorrected: -0.93 eV per atom
* crystal system: tetragonal

=====

[12]
This record from Alexandria describes a geometry-optimized HfCdPS2 structure. The functional is PBE.

Unit cell a=4.886 b=4.886 c=5.147 alpha=90.00 beta=90.00 gamma=90.00
Space group P4/mmm (No. 123)
Inequivalent atoms, fractional coordinates:
Hf 0.000 0.000 0.000
Cd 0.500 0.500 0.500
P 0.000 0.000 0.500
S 0.000 0.500 0.000

Computed properties:
* total DFT energy (no corrections): -25.864 eV/cell
* total moment: 0.0 μB/cell
* energy relative to the elements, uncorrected: -0.27 eV per atom
* offset from the most stable computed form: 0 meV per atom
* crystal system: tetragonal

=====

> The highest total moment belongs to which entry?

Ce4TlBiC